Compound: Ce3DyPb5
Source: Alexandria
Functional: PBE
Structure: relaxed

```
data_Ce3DyPb5
_symmetry_space_group_name_H-M 'P 63/m c m'
_symmetry_Int_Tables_number 193
_symmetry_space_group_name_Hall '-P 6c 2'
_cell_length_a 9.6242
_cell_length_b 9.6242
_cell_length_c 6.6476
_cell_angle_alpha 90.00
_cell_angle_beta 90.00
_cell_angle_gamma 120.00
loop_
_atom_site_label
_atom_site_fract_x
_atom_site_fract_y
_atom_site_fract_z
Ce1 0.0000 0.3831 0.2500
Dy1 0.0000 0.0000 0.0000
Pb1 0.0000 0.2830 0.7500
Pb2 0.3333 0.6667 0.0000
```

Results
calculated formation energy	-367	kJ/mol of formula units
density of states at the Fermi level	37.9	states/eV/cell

=====

Compound: PuPaReMo
Source: Alexandria
Functional: PBE
Structure: relaxed

```
data_PuPaReMo
_symmetry_space_group_name_H-M 'F -4 3 m'
_symmetry_Int_Tables_number 216
_symmetry_space_group_name_Hall 'F -4 2 3'
_cell_length_a 6.858
_cell_length_b 6.858
_cell_length_c 6.858
_cell_angle_alpha 90.00
_cell_angle_beta 90.00
_cell_angle_gamma 90.00
loop_
_atom_site_label
_atom_site_fract_x
_atom_site_fract_y
_atom_site_fract_z
Pu1 0.000 0.000 0.000
Pa1 0.000 0.000 0.500
Re1 0.250 0.250 0.250
Mo1 0.250 0.250 0.750
```

Results
calculated formation energy	76	kJ/mol of formula units
density of states at the Fermi level	23.3	states/eV/cell

=====

Compound: CaTe2Os
Source: Alexandria
Functional: PBE
Structure: relaxed

```
data_CaTe2Os
_symmetry_space_group_name_H-M 'R -3 m'
_symmetry_Int_Tables_number 166
_symmetry_space_group_name_Hall '-R 3 2"'
_cell_length_a 4.2436
_cell_length_b 4.2436
_cell_length_c 19.0479
_cell_angle_alpha 90.00
_cell_angle_beta 90.00
_cell_angle_gamma 120.00
loop_
_atom_site_label
_atom_site_fract_x
_atom_site_fract_y
_atom_site_fract_z
Ca1 0.0000 0.0000 0.0000
Te1 0.0000 0.0000 0.2302
Os1 0.0000 0.0000 0.5000
```

Results
energy above the lowest structure with this stoichiometry	0.000	eV/atom
E_form (uncorrected)	-379	meV per atom